# 1
Below is crystalline LaYSb2 at its relaxed geometry, with properties calculated at the PBE level.

Results
**ΔE to the lowest computed polymorph**: 116 meV/atom
**DFT total energy**: -6.012 eV per atom
**Space-group type**: P-3m1 (164)
**Uncorrected formation energy**: -1.102 eV per atom

```
LaYSb2
1.0
4.463 0.000 0.000
-2.231 3.865 0.000
0.000 0.000 7.777
La Y Sb
1 1 2
Direct
0.000 0.000 0.000 La
0.000 0.000 0.500 Y
0.333 0.667 0.737 Sb
0.667 0.333 0.263 Sb
```

# 2
Below is crystalline DyNiRh2 at its relaxed geometry, with properties calculated at the PBE level.

Results
**DFT formation energy**: -0.56 eV/atom
**ΔE to the lowest computed polymorph**: 0 meV/atom
**DFT total energy**: -6.827 eV per atom
**Space-group type**: R-3m (166)

```
DyNiRh2
1.0
2.636 1.522 8.243
-2.636 1.522 8.243
0.000 -3.044 8.243
Dy Ni Rh
3 3 6
Direct
0.000 0.000 0.000 Dy
0.140 0.140 0.140 Dy
0.860 0.860 0.860 Dy
0.333 0.333 0.333 Ni
0.500 0.500 0.500 Ni
0.667 0.667 0.667 Ni
0.081 0.583 0.583 Rh
0.417 0.417 0.919 Rh
0.417 0.919 0.417 Rh
0.583 0.081 0.583 Rh
0.583 0.583 0.081 Rh
0.919 0.417 0.417 Rh
```

# 3
Below is crystalline Hf2ZrRu at its relaxed geometry, with properties calculated at the PBE level.

Results
**DFT formation energy**: -0.11 eV/atom
**ΔE to the lowest computed polymorph**: 262 meV/atom
**DFT total energy**: -9.546 eV per atom
**Space-group type**: R-3m (166)

```
Hf2ZrRu
1.0
1.601 0.924 9.202
-1.601 0.924 9.202
0.000 -1.848 9.202
Hf Zr Ru
2 1 1
Direct
0.239 0.239 0.239 Hf
0.761 0.761 0.761 Hf
0.000 0.000 0.000 Zr
0.500 0.500 0.500 Ru
```

# 4
Below is crystalline Y4AsP2Se at its relaxed geometry, with properties calculated at the PBE level.

Results
**DFT total energy**: -7.319 eV per atom
**Space-group type**: P2/m (10)
**Uncorrected formation energy**: -1.717 eV per atom

```
Y4AsP2Se
1.0
7.019 0.000 0.000
0.000 4.053 0.000
-2.327 0.000 6.651
Y As P Se
4 1 2 1
Direct
0.241 0.000 0.235 Y
0.250 0.500 0.760 Y
0.750 0.500 0.240 Y
0.759 0.000 0.765 Y
0.000 0.000 0.500 As
0.000 0.500 0.000 P
0.500 0.000 0.000 P
0.500 0.500 0.500 Se
```